Compound: HoTmRuPt
Source: Alexandria
Functional: GGA-PBE
Structure: relaxed

Values from the calculation:
D(E_F): 1.191 states/eV per cell
Formation energy: -86.39 kJ/mol of atoms
ΔE to the lowest computed polymorph: 0.00 eV/f.u.
Symmetry: P4mm, No. 99

a b c (Å): 3.444 3.444 6.694
angles (deg): 90.00 90.00 90.00
Element x y z (fractional)
Ho: 0.000 0.000 0.000
Tm: 0.000 0.000 0.489
Ru: 0.500 0.500 0.247
Pt: 0.500 0.500 0.741